Here is a relaxed structure of CrPd6Au8 from the Alexandria database. Energies are from PBE.

Lattice parameters (Å, degrees): 7.6184 7.6184 5.5446 90.00 90.00 120.00
Space group P-3 (No. 147)
Symmetry-distinct sites (fractional):
Cr  0.0000  0.0000  0.0000 [1 per cell]
Pd  0.0293  0.6864  0.8698 [6 per cell]
Au  0.0187  0.6823  0.3739 [6 per cell]
Au  0.3333  0.6667  0.1200 [2 per cell]

For the volume, the calculation gives 18.58 A^3/atom. The formation energy comes out at 1.17 eV per formula unit. The final energy comes out at -65.825 eV for the cell shown. For the density of states at the Fermi level, the calculation gives 0.710 states/eV/atom.


Here is a relaxed structure of Rb4Ac3TiO8 from the Alexandria database. Energies are from PBE.

Lattice parameters (Å, degrees): 7.3893 7.3893 20.0414 90.00 90.00 120.00
Space group R-3m (No. 166, hexagonal axes)
Symmetry-distinct sites (fractional):
Rb  0.0000  0.0000  0.0000 [3 per cell]
Rb  0.0000  0.5000  0.0000 [9 per cell]
Ac  0.0000  0.5000  0.5000 [9 per cell]
Ti  0.0000  0.0000  0.5000 [3 per cell]
O  0.0000  0.0000  0.2324 [6 per cell]
O  0.0541  0.5271  0.2221 [18 per cell]

For the volume, the calculation gives 19.74 A^3/atom. The final energy comes out at -303.556 eV for the cell shown. For the density of states at the Fermi level, the calculation gives 0.239 states/eV/atom. The raw formation energy comes out at -2.3393 eV/atom.


Here is a relaxed structure of Sm3Dy8Y from the Alexandria database. Energies are from PBE.

Lattice parameters (Å, degrees): 8.714 8.714 11.374 90.00 90.00 90.00
Space group I-42m (No. 121)
Symmetry-distinct sites (fractional):
Sm  0.000  0.000  0.000 [2 per cell]
Sm  0.000  0.500  0.250 [4 per cell]
Dy  0.126  0.126  0.754 [8 per cell]
Dy  0.246  0.246  0.008 [8 per cell]
Y  0.000  0.000  0.500 [2 per cell]

For the volume, the calculation gives 35.99 A^3/atom. The formation energy comes out at 7.70 eV per formula unit. The final energy comes out at -99.474 eV for the cell shown. For the density of states at the Fermi level, the calculation gives 1.490 states/eV/atom.


Here is a relaxed structure of FeCuI5 from the Alexandria database. Energies are from PBE.

Lattice parameters (Å, degrees): 10.145 11.281 10.778 90.00 90.00 90.00
Space group Pnma (No. 62)
Symmetry-distinct sites (fractional):
Fe  0.124  0.250  0.121 [4 per cell]
Cu  0.127  0.750  0.247 [4 per cell]
I  0.091  0.750  0.007 [4 per cell]
I  0.123  0.250  0.677 [4 per cell]
I  0.126  0.067  0.252 [8 per cell]
I  0.164  0.750  0.489 [4 per cell]

For the volume, the calculation gives 44.05 A^3/atom. The final energy comes out at -83.286 eV for the cell shown. For the density of states at the Fermi level, the calculation gives 0.194 states/eV/atom. The raw formation energy comes out at -0.0732 eV/atom.


Number 2 is which compound? Rb4Ac3TiO8


final energy of number 3 (Sm3Dy8Y)? -99.474 eV for the cell shown


Repeat the second record exactly.
Here is a relaxed structure of Rb4Ac3TiO8 from the Alexandria database. Energies are from PBE.

Lattice parameters (Å, degrees): 7.3893 7.3893 20.0414 90.00 90.00 120.00
Space group R-3m (No. 166, hexagonal axes)
Symmetry-distinct sites (fractional):
Rb  0.0000  0.0000  0.0000 [3 per cell]
Rb  0.0000  0.5000  0.0000 [9 per cell]
Ac  0.0000  0.5000  0.5000 [9 per cell]
Ti  0.0000  0.0000  0.5000 [3 per cell]
O  0.0000  0.0000  0.2324 [6 per cell]
O  0.0541  0.5271  0.2221 [18 per cell]

For the volume, the calculation gives 19.74 A^3/atom. The final energy comes out at -303.556 eV for the cell shown. For the density of states at the Fermi level, the calculation gives 0.239 states/eV/atom. The raw formation energy comes out at -2.3393 eV/atom.


What is the final energy in the fourth record? -83.286 eV for the cell shown